Arrangement w

Computed, not measured: a relaxed structure of BWNF2 at the PBE with a Hubbard U level of DFT.

total moment	3.26	Bohr magnetons per cell
Fermi-level density of states	0.1	states/eV per cell

a = 4.515 Å, b = 4.515 Å, c = 2.733 Å
α = 90.00°, β = 90.00°, γ = 90.00°
Fractional coordinates of all 5 atoms:
B: 0.000 0.000 0.000
W: 0.500 0.500 0.500
N: 0.000 0.000 0.500
F: 0.000 0.500 0.000
F: 0.500 0.000 0.000

---

Arrangement x

Computed, not measured: a relaxed structure of BWNF2 at the PBE with a Hubbard U level of DFT.

total moment	1.98	Bohr magnetons per cell
Fermi-level density of states	1.7	states/eV per cell

a = 4.216 Å, b = 4.216 Å, c = 3.986 Å
α = 90.00°, β = 90.00°, γ = 90.00°
Fractional coordinates of all 5 atoms:
B: 0.000 0.000 0.000
W: 0.500 0.500 0.500
N: 0.500 0.500 0.000
F: 0.000 0.500 0.500
F: 0.500 0.000 0.500

---

Consider the structures shown above. The least stable of them is arrangement x.